No. 1
{
  "formula": "PrDy2Pt",
  "functional": "GGA-PBE",
  "state": "relaxed",
  "lattice_angstrom": [[-3.2464, -0.5693, 1.9723], [0.3336, -4.7325, -4.5695], [4.5739, -5.4327, 5.9604]],
  "species": ["Pt", "Pt", "Pr", "Pr", "Dy", "Dy", "Dy", "Dy"],
  "fractional_positions": [[0.2373, 0.4738, 0.2500], [0.7627, 0.5262, 0.7500], [0.9370, 0.8753, 0.2500], [0.0630, 0.1247, 0.7500], [0.3601, 0.7208, 0.5620], [0.3601, 0.7208, 0.9380], [0.6399, 0.2792, 0.0620], [0.6399, 0.2792, 0.4380]],
  "delta_e_f_ev_per_atom": -0.65,
  "dos_ef_per_ev_atom": 1.1193,
  "dft_energy_ev_per_atom": -5.661,
  "density_g_cm3": 9.8,
  "total_magnetization_mub_per_atom": 0.0000
}

No. 2
{
  "formula": "PrDy2Pt",
  "functional": "GGA-PBE",
  "state": "relaxed",
  "lattice_angstrom": [[3.9798, 0.0000, 0.0000], [1.9899, 3.4466, 0.0000], [1.9899, 1.1489, 9.0681]],
  "species": ["Dy", "Dy", "Pt", "Pr"],
  "fractional_positions": [[0.2741, 0.2741, 0.1777], [0.0583, 0.0583, 0.8250], [0.6656, 0.6656, 0.0032], [0.5020, 0.5020, 0.4941]],
  "delta_e_f_ev_per_atom": -0.55,
  "dos_ef_per_ev_atom": 0.9924,
  "dft_energy_ev_per_atom": -5.558,
  "density_g_cm3": 8.8,
  "total_magnetization_mub_per_atom": 0.0000
}

No. 3
{
  "formula": "Pr5DyPt4",
  "functional": "GGA-PBE",
  "state": "relaxed",
  "lattice_angstrom": [[4.2159, 0.0000, 0.0000], [0.0000, 8.1687, -0.6110], [-2.1079, -1.8063, 8.9360]],
  "species": ["Pr", "Pr", "Pr", "Pr", "Pr", "Pt", "Pt", "Pt", "Pt", "Dy"],
  "fractional_positions": [[0.5000, 0.5000, 0.0000], [0.8345, 0.6553, 0.6691], [0.1655, 0.3447, 0.3309], [0.1669, 0.8544, 0.3338], [0.8331, 0.1456, 0.6662], [0.3324, 0.8959, 0.6647], [0.6676, 0.1041, 0.3353], [0.9987, 0.7518, 0.9974], [0.0013, 0.2482, 0.0026], [0.5000, 0.0000, 0.0000]],
  "delta_e_f_ev_per_atom": -0.85,
  "dos_ef_per_ev_atom": 0.8110,
  "dft_energy_ev_per_atom": -6.119,
  "density_g_cm3": 9.0,
  "total_magnetization_mub_per_atom": 0.0000
}

No. 4
{
  "formula": "PrDy2Pt",
  "functional": "GGA-PBE",
  "state": "relaxed",
  "lattice_angstrom": [[6.5964, 0.0000, 0.0000], [0.0000, 7.1770, 0.0000], [0.0000, 0.0000, 9.6760]],
  "species": ["Pt", "Pt", "Pt", "Pt", "Pr", "Pr", "Pr", "Pr", "Dy", "Dy", "Dy", "Dy", "Dy", "Dy", "Dy", "Dy"],
  "fractional_positions": [[0.4266, 0.8853, 0.2500], [0.0734, 0.3853, 0.2500], [0.5734, 0.1147, 0.7500], [0.9266, 0.6147, 0.7500], [0.3656, 0.4779, 0.7500], [0.8656, 0.0221, 0.2500], [0.6344, 0.5221, 0.2500], [0.1344, 0.9779, 0.7500], [0.6725, 0.8227, 0.5627], [0.3275, 0.1773, 0.0627], [0.3275, 0.1773, 0.4373], [0.8275, 0.3227, 0.9373], [0.6725, 0.8227, 0.9373], [0.1725, 0.6773, 0.0627], [0.8275, 0.3227, 0.5627], [0.1725, 0.6773, 0.4373]],
  "delta_e_f_ev_per_atom": -0.68,
  "dos_ef_per_ev_atom": 1.0116,
  "dft_energy_ev_per_atom": -5.686,
  "density_g_cm3": 9.6,
  "total_magnetization_mub_per_atom": 0.0000
}

No. 5
{
  "formula": "PrDyPtRh",
  "functional": "GGA-PBE",
  "state": "relaxed",
  "lattice_angstrom": [[3.8678, 0.0000, 0.0000], [0.0000, 4.4317, 0.0000], [-1.9339, 0.0000, 5.3641]],
  "species": ["Pr", "Pt", "Dy", "Rh"],
  "fractional_positions": [[0.1446, 0.0000, 0.2893], [0.5824, 0.5000, 0.1648], [0.8634, 0.5000, 0.7269], [0.4095, 0.0000, 0.8190]],
  "delta_e_f_ev_per_atom": -0.97,
  "dos_ef_per_ev_atom": 0.6332,
  "dft_energy_ev_per_atom": -6.659,
  "density_g_cm3": 10.9,
  "total_magnetization_mub_per_atom": 0.0000
}

No. 6
{
  "formula": "PrDyPtRh",
  "functional": "GGA-PBE",
  "state": "relaxed",
  "lattice_angstrom": [[-4.9672, -0.0697, 0.5582], [-2.2233, -3.9509, 2.1064], [-2.0086, 0.3990, 4.5603]],
  "species": ["Pr", "Rh", "Dy", "Pt"],
  "fractional_positions": [[0.5000, 0.5000, 0.5000], [0.2500, 0.2500, 0.2500], [0.0000, 0.0000, 0.0000], [0.7500, 0.7500, 0.7500]],
  "delta_e_f_ev_per_atom": -0.91,
  "dos_ef_per_ev_atom": 0.5961,
  "dft_energy_ev_per_atom": -6.599,
  "density_g_cm3": 11.3,
  "total_magnetization_mub_per_atom": 0.0000
}